1.
{
  "formula": "Cd2NiPd8",
  "functional": "PBE",
  "state": "optimized geometry",
  "lattice": [[-3.103, -1.805, -3.429], [0.307, -8.440, -2.223], [-3.697, -7.838, 1.082]],
  "species": ["Pd", "Pd", "Pd", "Pd", "Pd", "Pd", "Pd", "Pd", "Ni", "Cd", "Cd"],
  "frac_coords": [[0.127, 0.742, 0.742], [0.784, 0.667, 0.166], [0.216, 0.333, 0.834], [0.784, 0.166, 0.667], [0.216, 0.834, 0.333], [0.280, 0.418, 0.418], [0.720, 0.582, 0.582], [0.873, 0.258, 0.258], [0.000, 0.000, 0.000], [0.486, 0.821, 0.821], [0.514, 0.179, 0.179]],
  "final_energy_ev_per_atom": -4.4795,
  "relative_energy_ev_per_atom": 0.130,
  "ef_ev_per_atom": -0.0110,
  "magmom_total_mub_per_fu": 0.67
}

=====

2.
{
  "formula": "Pa3GeC",
  "functional": "PBE",
  "state": "optimized geometry",
  "lattice": [[4.721, 0.000, 0.000], [0.000, 4.721, 0.000], [0.000, 0.000, 4.721]],
  "species": ["Ge", "C", "Pa", "Pa", "Pa"],
  "frac_coords": [[0.500, 0.500, 0.500], [0.000, 0.000, 0.000], [0.000, 0.000, 0.500], [0.500, 0.000, 0.000], [0.000, 0.500, 0.000]],
  "final_energy_ev_per_atom": -8.7903,
  "relative_energy_ev_per_atom": 0.000,
  "ef_ev_per_atom": -0.3245,
  "magmom_total_mub_per_fu": 0.00
}

=====

3.
{
  "formula": "TlGeC",
  "functional": "PBE",
  "state": "optimized geometry",
  "lattice": [[-2.725, 1.400, 1.126], [-2.188, -0.145, -5.114], [-1.030, -7.822, 2.327]],
  "species": ["Tl", "Tl", "C", "C", "Ge", "Ge"],
  "frac_coords": [[0.366, 0.183, 0.644], [0.946, 0.728, 0.811], [0.126, 0.567, 0.205], [0.149, 0.344, 0.250], [0.597, 0.740, 0.149], [0.678, 0.171, 0.306]],
  "final_energy_ev_per_atom": -4.8694,
  "relative_energy_ev_per_atom": 0.013,
  "ef_ev_per_atom": 0.5331,
  "magmom_total_mub_per_fu": 0.00
}

=====

4.
{
  "formula": "Tb2BeSiNi6",
  "functional": "PBE",
  "state": "optimized geometry",
  "lattice": [[5.942, 0.000, 0.000], [0.000, 5.942, 0.000], [2.971, 2.971, 4.202]],
  "species": ["Ni", "Ni", "Ni", "Ni", "Ni", "Ni", "Tb", "Tb", "Be", "Si"],
  "frac_coords": [[0.739, 0.261, 0.000], [0.261, 0.261, 0.479], [0.739, 0.739, 0.000], [0.261, 0.261, 0.000], [0.261, 0.739, 0.000], [0.739, 0.739, 0.521], [0.250, 0.750, 0.500], [0.750, 0.250, 0.500], [0.500, 0.500, 0.000], [0.000, 0.000, 0.000]],
  "final_energy_ev_per_atom": -5.5837,
  "magmom_total_mub_per_fu": 0.00,
  "formation_energy_uncorrected_ev_per_fu": -2.7
}

=====

5.
{
  "formula": "YbHfF7",
  "functional": "PBE",
  "state": "optimized geometry",
  "lattice": [[-3.999, -3.833, 1.855], [4.387, -3.502, 2.221], [0.870, 2.842, 7.746]],
  "species": ["F", "F", "F", "F", "F", "F", "F", "F", "F", "F", "F", "F", "F", "F", "Hf", "Hf", "Yb", "Yb"],
  "frac_coords": [[0.205, 0.139, 0.472], [0.458, 0.411, 0.208], [0.703, 0.771, 0.021], [0.939, 0.065, 0.759], [0.439, 0.935, 0.241], [0.442, 0.509, 0.496], [0.203, 0.229, 0.979], [0.942, 0.491, 0.504], [0.705, 0.861, 0.528], [0.958, 0.589, 0.792], [0.470, 0.068, 0.756], [0.970, 0.932, 0.244], [0.954, 0.415, 0.208], [0.454, 0.585, 0.792], [0.704, 0.818, 0.775], [0.204, 0.182, 0.225], [0.702, 0.656, 0.308], [0.202, 0.344, 0.692]],
  "final_energy_ev_per_atom": -6.4067,
  "magmom_total_mub_per_fu": 1.01,
  "formation_energy_uncorrected_ev_per_fu": -33.1
}

=====

6.
{
  "formula": "LaTbCeY",
  "functional": "PBE",
  "state": "optimized geometry",
  "lattice": [[5.751, 0.000, 0.000], [2.876, 4.981, 0.000], [2.876, 1.660, 4.696]],
  "species": ["Y", "Tb", "Ce", "La"],
  "frac_coords": [[0.500, 0.500, 0.500], [0.000, 0.000, 0.000], [0.250, 0.250, 0.250], [0.750, 0.750, 0.750]],
  "final_energy_ev_per_atom": -5.3229,
  "ef_ev_per_atom": 0.1660,
  "magmom_total_mub_per_fu": 0.76
}

=====

7.
{
  "formula": "GaSi3Hg",
  "functional": "PBE",
  "state": "optimized geometry",
  "lattice": [[-3.044, -2.606, -2.679], [-2.041, -1.737, 4.008], [-3.132, 3.665, -0.007]],
  "species": ["Si", "Si", "Si", "Hg", "Ga"],
  "frac_coords": [[0.000, 0.000, 0.500], [0.000, 0.500, 0.000], [0.500, 0.000, 0.000], [0.500, 0.500, 0.500], [0.000, 0.000, 0.000]],
  "final_energy_ev_per_atom": -2.9846,
  "relative_energy_ev_per_atom": 0.000,
  "magmom_total_mub_per_fu": 0.00,
  "formation_energy_uncorrected_ev_per_fu": 4.7
}

=====

8.
{
  "formula": "Li3Pm2Cu12Pt",
  "functional": "PBE",
  "state": "optimized geometry",
  "lattice": [[10.647, 3.003, 2.130], [7.869, 7.775, 2.130], [7.869, 4.581, 6.634]],
  "species": ["Pt", "Cu", "Cu", "Cu", "Cu", "Cu", "Cu", "Cu", "Cu", "Cu", "Cu", "Cu", "Cu", "Li", "Li", "Li", "Pm", "Pm"],
  "frac_coords": [[0.000, 0.000, 0.000], [0.903, 0.903, 0.384], [0.408, 0.842, 0.408], [0.384, 0.903, 0.903], [0.616, 0.097, 0.097], [0.592, 0.592, 0.158], [0.158, 0.592, 0.592], [0.408, 0.408, 0.842], [0.592, 0.158, 0.592], [0.097, 0.097, 0.616], [0.097, 0.616, 0.097], [0.903, 0.384, 0.903], [0.842, 0.408, 0.408], [0.000, 0.500, 0.000], [0.000, 0.000, 0.500], [0.500, 0.000, 0.000], [0.357, 0.357, 0.357], [0.643, 0.643, 0.643]],
  "final_energy_ev_per_atom": -3.8624,
  "ef_ev_per_atom": 0.0508,
  "magmom_total_mub_per_fu": 0.00
}

=====

9.
{
  "formula": "BaCd3Bi",
  "functional": "PBE",
  "state": "optimized geometry",
  "lattice": [[-2.597, 2.071, -5.284], [-0.909, -5.888, -1.860], [-5.602, -0.004, 2.752]],
  "species": ["Cd", "Cd", "Cd", "Bi", "Ba"],
  "frac_coords": [[0.500, 0.000, 0.000], [0.000, 0.000, 0.500], [0.000, 0.500, 0.000], [0.500, 0.500, 0.500], [0.000, 0.000, 0.000]],
  "final_energy_ev_per_atom": -0.9664,
  "relative_energy_ev_per_atom": 0.644,
  "ef_ev_per_atom": 0.7435,
  "magmom_total_mub_per_fu": 0.00
}

=====

10.
{
  "formula": "YBiSe3",
  "functional": "PBE",
  "state": "optimized geometry",
  "lattice": [[7.207, 0.000, 0.000], [0.000, 7.046, 0.000], [0.000, -3.523, 6.102]],
  "species": ["Bi", "Bi", "Se", "Se", "Se", "Se", "Se", "Se", "Y", "Y"],
  "frac_coords": [[0.500, 0.667, 0.333], [0.000, 0.667, 0.333], [0.250, 0.678, 0.676], [0.750, 0.324, 0.322], [0.250, 0.998, 0.322], [0.750, 0.678, 0.002], [0.250, 0.324, 0.002], [0.750, 0.998, 0.676], [0.000, 0.000, 0.000], [0.500, 0.000, 0.000]],
  "final_energy_ev_per_atom": -5.1818,
  "relative_energy_ev_per_atom": 0.102,
  "magmom_total_mub_per_fu": 0.00,
  "formation_energy_uncorrected_ev_per_fu": -5.1
}

=====

11.
{
  "formula": "ErHCl4",
  "functional": "PBE",
  "state": "optimized geometry",
  "lattice": [[-6.751, 1.565, -0.209], [-1.398, -4.506, -3.888], [-2.219, -7.868, 5.110]],
  "species": ["Cl", "Cl", "Cl", "Cl", "Cl", "Cl", "Cl", "Cl", "H", "H", "Er", "Er"],
  "frac_coords": [[0.586, 0.723, 0.597], [0.914, 0.180, 0.597], [0.361, 0.112, 0.812], [0.086, 0.820, 0.403], [0.414, 0.277, 0.403], [0.861, 0.424, 0.188], [0.139, 0.576, 0.812], [0.639, 0.888, 0.188], [0.250, 0.349, 0.803], [0.750, 0.651, 0.197], [0.250, 0.947, 0.607], [0.750, 0.053, 0.393]],
  "final_energy_ev_per_atom": -4.2137,
  "magmom_total_mub_per_fu": 0.00
}

=====

12.
{
  "formula": "Tm5Hf12Pa3",
  "functional": "PBE",
  "state": "optimized geometry",
  "lattice": [[15.240, 0.000, 0.000], [-5.080, 14.368, 0.000], [-5.080, -7.184, 12.443]],
  "species": ["Tm", "Tm", "Tm", "Tm", "Tm", "Tm", "Tm", "Tm", "Tm", "Tm", "Tm", "Tm", "Tm", "Tm", "Tm", "Tm", "Tm", "Tm", "Tm", "Tm", "Pa", "Pa", "Pa", "Pa", "Pa", "Pa", "Pa", "Pa", "Pa", "Pa", "Pa", "Pa", "Hf", "Hf", "Hf", "Hf", "Hf", "Hf", "Hf", "Hf", "Hf", "Hf", "Hf", "Hf", "Hf", "Hf", "Hf", "Hf", "Hf", "Hf", "Hf", "Hf", "Hf", "Hf", "Hf", "Hf", "Hf", "Hf", "Hf", "Hf", "Hf", "Hf", "Hf", "Hf", "Hf", "Hf", "Hf", "Hf", "Hf", "Hf", "Hf", "Hf", "Hf", "Hf", "Hf", "Hf", "Hf", "Hf", "Hf", "Hf"],
  "frac_coords": [[0.500, 0.500, 0.000], [0.750, 0.125, 0.875], [0.750, 0.625, 0.375], [0.125, 0.750, 0.375], [0.250, 0.375, 0.625], [0.125, 0.375, 0.250], [0.500, 0.000, 0.000], [0.875, 0.625, 0.750], [0.000, 0.000, 0.500], [0.000, 0.000, 0.000], [0.625, 0.875, 0.250], [0.625, 0.750, 0.875], [0.375, 0.125, 0.750], [0.000, 0.500, 0.000], [0.875, 0.250, 0.625], [0.500, 0.500, 0.500], [0.000, 0.500, 0.500], [0.250, 0.875, 0.125], [0.500, 0.000, 0.500], [0.375, 0.250, 0.125], [0.375, 0.625, 0.250], [0.750, 0.875, 0.625], [0.750, 0.375, 0.125], [0.250, 0.125, 0.375], [0.875, 0.750, 0.125], [0.625, 0.375, 0.750], [0.125, 0.875, 0.750], [0.125, 0.250, 0.875], [0.375, 0.750, 0.625], [0.875, 0.125, 0.250], [0.625, 0.250, 0.375], [0.250, 0.625, 0.875], [0.911, 0.568, 0.139], [0.068, 0.929, 0.157], [0.228, 0.589, 0.657], [0.568, 0.657, 0.429], [0.432, 0.343, 0.571], [0.361, 0.589, 0.432], [0.343, 0.432, 0.071], [0.228, 0.639, 0.071], [0.361, 0.772, 0.429], [0.429, 0.157, 0.568], [0.728, 0.571, 0.139], [0.272, 0.843, 0.911], [0.157, 0.429, 0.068], [0.861, 0.929, 0.272], [0.089, 0.432, 0.861], [0.071, 0.139, 0.228], [0.932, 0.861, 0.589], [0.657, 0.568, 0.929], [0.657, 0.089, 0.228], [0.139, 0.068, 0.911], [0.411, 0.772, 0.843], [0.571, 0.728, 0.639], [0.772, 0.361, 0.929], [0.639, 0.411, 0.568], [0.429, 0.272, 0.361], [0.272, 0.429, 0.861], [0.589, 0.361, 0.932], [0.639, 0.228, 0.571], [0.068, 0.139, 0.411], [0.911, 0.343, 0.272], [0.568, 0.911, 0.639], [0.772, 0.411, 0.343], [0.571, 0.843, 0.432], [0.139, 0.071, 0.728], [0.411, 0.639, 0.068], [0.932, 0.071, 0.843], [0.071, 0.932, 0.343], [0.589, 0.228, 0.157], [0.843, 0.571, 0.932], [0.843, 0.272, 0.411], [0.432, 0.089, 0.361], [0.343, 0.911, 0.772], [0.929, 0.861, 0.772], [0.728, 0.157, 0.089], [0.861, 0.932, 0.089], [0.157, 0.728, 0.589], [0.929, 0.068, 0.657], [0.089, 0.657, 0.728]],
  "final_energy_ev_per_atom": -7.2307,
  "ef_ev_per_atom": 1.2836,
  "magmom_total_mub_per_fu": 0.00
}

=====

13.
{
  "formula": "Ce12PuMg6",
  "functional": "PBE",
  "state": "optimized geometry",
  "lattice": [[-6.587, 7.005, 3.039], [-0.573, -0.598, -8.458], [-1.339, -6.607, 5.123]],
  "species": ["Ce", "Ce", "Ce", "Ce", "Ce", "Ce", "Ce", "Ce", "Ce", "Ce", "Ce", "Ce", "Mg", "Mg", "Mg", "Mg", "Mg", "Mg", "Pu"],
  "frac_coords": [[0.502, 0.699, 0.091], [0.498, 0.301, 0.909], [0.740, 0.043, 0.888], [0.015, 0.540, 0.724], [0.985, 0.460, 0.276], [0.328, 0.881, 0.401], [0.831, 0.980, 0.284], [0.911, 0.641, 0.102], [0.089, 0.359, 0.898], [0.260, 0.957, 0.112], [0.169, 0.020, 0.716], [0.672, 0.119, 0.599], [0.364, 0.771, 0.735], [0.392, 0.480, 0.313], [0.608, 0.520, 0.687], [0.235, 0.296, 0.542], [0.636, 0.229, 0.265], [0.765, 0.704, 0.458], [0.000, 0.000, 0.000]],
  "final_energy_ev_per_atom": -4.9242,
  "ef_ev_per_atom": 0.0814,
  "magmom_total_mub_per_fu": 7.84
}

=====

14.
{
  "formula": "Na2Bi3Pt2",
  "functional": "PBE",
  "state": "optimized geometry",
  "lattice": [[-2.873, -2.708, -1.858], [3.520, -2.915, 3.929], [-6.367, 4.273, 3.617]],
  "species": ["Na", "Na", "Pt", "Pt", "Bi", "Bi", "Bi"],
  "frac_coords": [[0.163, 0.326, 0.818], [0.837, 0.674, 0.182], [0.138, 0.276, 0.247], [0.862, 0.724, 0.753], [0.377, 0.755, 0.553], [0.623, 0.245, 0.447], [0.500, 0.000, 0.000]],
  "final_energy_ev_per_atom": -4.0213,
  "ef_ev_per_atom": -0.2552,
  "magmom_total_mub_per_fu": 0.00
}

=====

15.
{
  "formula": "Sn2SbBr",
  "functional": "PBE",
  "state": "optimized geometry",
  "lattice": [[-1.532, 2.728, -3.234], [-4.036, -0.743, -1.845], [-4.973, 4.947, 3.399]],
  "species": ["Sn", "Sn", "Sb", "Br"],
  "frac_coords": [[0.741, 0.741, 0.776], [0.259, 0.259, 0.224], [0.000, 0.000, 0.000], [0.500, 0.500, 0.500]],
  "final_energy_ev_per_atom": -3.6824,
  "relative_energy_ev_per_atom": 0.000,
  "magmom_total_mub_per_fu": 0.00,
  "formation_energy_uncorrected_ev_per_fu": -0.9
}

=====

16.
{
  "formula": "TbSc5In6",
  "functional": "PBE",
  "state": "optimized geometry",
  "lattice": [[-4.097, -2.035, -0.683], [4.811, -5.764, 3.992], [-1.499, 6.516, 5.253]],
  "species": ["Tb", "Sc", "Sc", "Sc", "Sc", "Sc", "In", "In", "In", "In", "In", "In"],
  "frac_coords": [[0.000, 0.000, 0.000], [0.000, 0.668, 0.332], [0.500, 0.169, 0.831], [0.000, 0.332, 0.668], [0.500, 0.831, 0.169], [0.500, 0.500, 0.500], [0.253, 0.084, 0.422], [0.244, 0.744, 0.744], [0.747, 0.578, 0.916], [0.253, 0.422, 0.084], [0.747, 0.916, 0.578], [0.756, 0.256, 0.256]],
  "final_energy_ev_per_atom": -4.8247,
  "ef_ev_per_atom": -0.4315,
  "magmom_total_mub_per_fu": 2.17
}

=====

17.
{
  "formula": "TbHoBePd",
  "functional": "PBE",
  "state": "optimized geometry",
  "lattice": [[4.914, 0.000, 0.000], [2.457, 4.256, 0.000], [2.457, 1.419, 4.012]],
  "species": ["Pd", "Be", "Tb", "Ho"],
  "frac_coords": [[0.500, 0.500, 0.500], [0.000, 0.000, 0.000], [0.750, 0.750, 0.750], [0.250, 0.250, 0.250]],
  "final_energy_ev_per_atom": -4.8887,
  "ef_ev_per_atom": -0.3569,
  "magmom_total_mub_per_fu": 0.00
}

=====

18.
{
  "formula": "TmGa6Au12",
  "functional": "PBE",
  "state": "optimized geometry",
  "lattice": [[-2.919, -2.717, -6.468], [7.467, 0.801, -1.160], [-0.809, -5.473, 5.209]],
  "species": ["Ga", "Ga", "Ga", "Ga", "Ga", "Ga", "Au", "Au", "Au", "Au", "Au", "Au", "Au", "Au", "Au", "Au", "Au", "Au", "Tm"],
  "frac_coords": [[0.286, 0.286, 0.693], [0.693, 0.286, 0.286], [0.286, 0.693, 0.286], [0.714, 0.307, 0.714], [0.714, 0.714, 0.307], [0.307, 0.714, 0.714], [0.361, 0.119, 0.361], [0.881, 0.500, 0.119], [0.639, 0.881, 0.639], [0.361, 0.361, 0.119], [0.500, 0.119, 0.881], [0.119, 0.881, 0.500], [0.639, 0.639, 0.881], [0.500, 0.881, 0.119], [0.119, 0.500, 0.881], [0.881, 0.639, 0.639], [0.881, 0.119, 0.500], [0.119, 0.361, 0.361], [0.000, 0.000, 0.000]],
  "final_energy_ev_per_atom": -3.4456,
  "ef_ev_per_atom": -0.1845,
  "magmom_total_mub_per_fu": 0.00
}

=====

19.
{
  "formula": "Sm2MgAl",
  "functional": "PBE",
  "state": "optimized geometry",
  "lattice": [[-1.903, -2.804, -1.737], [0.998, -3.200, 4.072], [-4.458, 1.580, 2.334]],
  "species": ["Al", "Mg", "Sm", "Sm"],
  "frac_coords": [[0.500, 0.000, 0.000], [0.500, 0.500, 0.500], [0.000, 0.500, 0.000], [0.000, 0.000, 0.500]],
  "final_energy_ev_per_atom": -3.9386,
  "relative_energy_ev_per_atom": 0.021,
  "ef_ev_per_atom": -0.2448,
  "magmom_total_mub_per_fu": 0.00
}